VASP calculation (GGA-PBE) on an optimized crystal structure of ScCoHg.

Geometry as POSCAR:
```
ScCoHg
1.0
3.641 0.000 0.000
0.000 4.866 -0.086
-1.820 -1.165 6.208
Co Hg Sc
2 2 2
Direct
0.766 0.138 0.533
0.234 0.862 0.467
0.570 0.783 0.141
0.430 0.217 0.859
0.857 0.664 0.714
0.143 0.336 0.286
```

Values from the calculation:
The space group is C2/m, No. 12. The calculation puts the energy relative to the elements at -0.190 eV per atom. For the mass density, the calculation gives 9.23 Mg/m³. The total DFT energy (no corrections) comes out at -4.769 eV/atom. Its magnetic moment is 0.000 μB/cell.

VASP calculation (GGA-PBE) on an optimized crystal structure of ScCoHg.

Geometry as POSCAR:
```
ScCoHg
1.0
-3.079 2.513 -1.995
-0.992 -4.147 1.263
-0.956 1.100 2.860
Co Hg Sc
1 1 1
Direct
0.000 0.000 0.166
0.333 0.667 0.167
0.667 0.333 0.667
```

Values from the calculation:
The space group is P-6m2, No. 187. The calculation puts the energy relative to the elements at -0.011 eV per atom. For the mass density, the calculation gives 9.20 Mg/m³. The total DFT energy (no corrections) comes out at -4.590 eV/atom. Its magnetic moment is 0.932 μB/cell.

VASP calculation (GGA-PBE) on an optimized crystal structure of Sc2CoHg2.

Geometry as POSCAR:
```
Sc2CoHg2
1.0
-0.551 4.793 5.213
-6.263 2.110 -2.602
-1.884 -2.736 2.316
Sc Co Hg
4 2 4
Direct
0.169 0.669 0.500
0.669 0.831 0.500
0.831 0.331 0.500
0.331 0.169 0.500
0.000 0.000 0.000
0.500 0.500 0.000
0.358 0.858 0.000
0.858 0.642 0.000
0.642 0.142 0.000
0.142 0.358 0.000
```

Values from the calculation:
The space group is P4/mbm, No. 127. The calculation puts the energy relative to the elements at 0.011 eV per atom. For the mass density, the calculation gives 8.94 Mg/m³. The total DFT energy (no corrections) comes out at -4.064 eV/atom. Its magnetic moment is 0.003 μB/cell.

VASP calculation (GGA-PBE) on an optimized crystal structure of Sc5CoHg4.

Geometry as POSCAR:
```
Sc5CoHg4
1.0
3.415 0.000 0.000
0.000 3.415 0.000
0.000 0.000 17.507
Sc Co Hg
5 1 4
Direct
0.500 0.500 0.082
0.500 0.500 0.292
0.500 0.500 0.500
0.500 0.500 0.708
0.500 0.500 0.918
0.000 0.000 0.000
0.000 0.000 0.187
0.000 0.000 0.397
0.000 0.000 0.603
0.000 0.000 0.813
```

Values from the calculation:
The space group is P4/mmm, No. 123. The calculation puts the energy relative to the elements at -0.391 eV per atom. For the mass density, the calculation gives 8.83 Mg/m³. The total DFT energy (no corrections) comes out at -4.388 eV/atom. Its magnetic moment is 0.075 μB/cell.

VASP calculation (GGA-PBE) on an optimized crystal structure of ScCoHg.

Geometry as POSCAR:
```
ScCoHg
1.0
4.464 0.000 0.000
2.232 3.866 0.000
2.232 1.289 3.645
Co Hg Sc
1 1 1
Direct
0.000 0.000 0.000
0.500 0.500 0.500
0.250 0.250 0.250
```

Values from the calculation:
The space group is F-43m, No. 216. The calculation puts the energy relative to the elements at 0.404 eV per atom. For the mass density, the calculation gives 8.04 Mg/m³. The total DFT energy (no corrections) comes out at -4.176 eV/atom. Its magnetic moment is 0.296 μB/cell.

VASP calculation (GGA-PBE) on an optimized crystal structure of Sc5Co2Hg2.

Geometry as POSCAR:
```
Sc5Co2Hg2
1.0
6.373 0.000 2.313
0.000 6.815 0.000
0.539 0.000 8.451
Sc Co Hg
10 4 4
Direct
0.000 0.000 0.000
0.500 0.500 0.000
0.432 0.184 0.762
0.806 0.816 0.762
0.306 0.684 0.762
0.932 0.316 0.762
0.568 0.816 0.238
0.194 0.184 0.238
0.694 0.316 0.238
0.068 0.684 0.238
0.115 0.383 0.000
0.885 0.617 0.000
0.385 0.883 0.000
0.615 0.117 0.000
0.224 0.000 0.552
0.724 0.500 0.552
0.776 0.000 0.448
0.276 0.500 0.448
```

Values from the calculation:
The space group is Cmce, No. 64. The calculation puts the energy relative to the elements at -0.355 eV per atom. For the mass density, the calculation gives 6.89 Mg/m³. The total DFT energy (no corrections) comes out at -5.519 eV/atom. Its magnetic moment is 0.000 μB/cell.

What did the sixth record say?
VASP calculation (GGA-PBE) on an optimized crystal structure of Sc5Co2Hg2.

Geometry as POSCAR:
```
Sc5Co2Hg2
1.0
6.373 0.000 2.313
0.000 6.815 0.000
0.539 0.000 8.451
Sc Co Hg
10 4 4
Direct
0.000 0.000 0.000
0.500 0.500 0.000
0.432 0.184 0.762
0.806 0.816 0.762
0.306 0.684 0.762
0.932 0.316 0.762
0.568 0.816 0.238
0.194 0.184 0.238
0.694 0.316 0.238
0.068 0.684 0.238
0.115 0.383 0.000
0.885 0.617 0.000
0.385 0.883 0.000
0.615 0.117 0.000
0.224 0.000 0.552
0.724 0.500 0.552
0.776 0.000 0.448
0.276 0.500 0.448
```

Values from the calculation:
The space group is Cmce, No. 64. The calculation puts the energy relative to the elements at -0.355 eV per atom. For the mass density, the calculation gives 6.89 Mg/m³. The total DFT energy (no corrections) comes out at -5.519 eV/atom. Its magnetic moment is 0.000 μB/cell.